A relaxed Dy2ThHg8 crystal, computed with PBE.

The structure in POSCAR format:
```
Dy2ThHg8
1.0
-3.831 -1.015 3.228
3.761 -5.974 2.585
3.196 7.678 2.162
Hg Dy Th
8 2 1
direct
0.000 0.706 0.000
0.843 0.843 0.686
0.349 0.558 0.698
0.651 0.861 0.302
0.157 0.157 0.314
0.000 0.294 0.000
0.349 0.139 0.698
0.651 0.442 0.302
0.808 0.308 0.616
0.192 0.692 0.384
0.500 0.000 0.000
```

## Properties
size of the total moment = 0.00 Bohr magnetons per cell
space-group type = Immm (71)
formation energy from the elements = -0.251 eV/atom

A relaxed TlHPdRh2 crystal, computed with PBE.

The structure in POSCAR format:
```
TlHPdRh2
1.0
-3.601 -1.914 0.298
1.499 -2.356 2.987
-1.211 2.706 2.742
Rh H Pd Tl
2 1 1 1
direct
0.000 0.500 0.000
0.500 0.000 0.000
0.000 0.000 0.000
0.000 0.000 0.500
0.500 0.500 0.500
```

## Properties
size of the total moment = 0.00 Bohr magnetons per cell
space-group type = P4/mmm (123)
total DFT energy (no corrections) = -5.1414 eV per atom

A relaxed TbPaHgPd crystal, computed with PBE.

The structure in POSCAR format:
```
TbPaHgPd
1.0
5.128 0.000 0.000
2.564 4.441 0.000
2.564 1.480 4.187
Pd Tb Pa Hg
1 1 1 1
direct
0.750 0.750 0.750
0.000 0.000 0.000
0.500 0.500 0.500
0.250 0.250 0.250
```

## Properties
size of the total moment = 0.54 Bohr magnetons per cell
space-group type = F-43m (216)
formation energy from the elements = -0.240 eV/atom

A relaxed Cs2MgAu crystal, computed with PBE.

The structure in POSCAR format:
```
Cs2MgAu
1.0
-6.769 6.769 2.680
6.769 -6.769 2.680
6.769 6.769 -2.680
Cs Au Mg
4 2 2
direct
0.197 0.375 0.322
0.625 0.947 0.822
0.053 0.875 0.678
0.125 0.803 0.178
0.250 0.750 0.500
0.000 0.000 0.000
0.500 0.500 0.000
0.750 0.250 0.500
```

## Properties
size of the total moment = 0.00 Bohr magnetons per cell
space-group type = I-42d (122)
formation energy from the elements = -0.114 eV/atom

A relaxed K3NpNi2Se6 crystal, computed with PBE.

The structure in POSCAR format:
```
K3NpNi2Se6
1.0
6.610 0.208 0.001
-3.123 5.830 0.001
-1.163 -2.014 7.691
K Se Ni Np
3 6 2 1
direct
0.500 0.500 0.500
0.841 0.159 0.500
0.159 0.841 0.500
0.307 0.307 0.826
0.693 0.693 0.174
0.591 0.957 0.808
0.043 0.409 0.192
0.409 0.043 0.192
0.957 0.591 0.808
0.330 0.670 0.000
0.670 0.330 0.000
0.000 0.000 0.000
```

## Properties
size of the total moment = 0.15 Bohr magnetons per cell
raw formation energy = -734 meV per atom
space-group type = C2/m (12)

A relaxed TmPPt crystal, computed with PBE.

The structure in POSCAR format:
```
TmPPt
1.0
-0.897 -3.018 -3.351
-0.892 -4.390 1.038
-7.216 -1.015 -0.309
P Tm Pt
2 2 2
direct
0.112 0.112 0.663
0.888 0.888 0.337
0.386 0.386 0.841
0.614 0.614 0.159
0.762 0.762 0.714
0.238 0.238 0.286
```

## Properties
size of the total moment = 0.00 Bohr magnetons per cell
space-group type = R-3m (166)
formation energy from the elements = -0.779 eV/atom

A relaxed Co3NiH3 crystal, computed with PBE.

The structure in POSCAR format:
```
Co3NiH3
1.0
3.669 0.000 0.000
0.000 5.124 -0.764
0.000 0.784 5.121
Ni H Co
2 6 6
direct
0.750 0.378 0.622
0.250 0.622 0.378
0.750 0.126 0.874
0.750 0.126 0.376
0.250 0.376 0.126
0.250 0.874 0.624
0.750 0.624 0.874
0.250 0.874 0.126
0.250 0.126 0.377
0.250 0.127 0.873
0.750 0.874 0.623
0.750 0.873 0.127
0.750 0.377 0.126
0.250 0.623 0.874
```

## Properties
size of the total moment = 8.32 Bohr magnetons per cell
space-group type = Cmcm (63)
total DFT energy (no corrections) = -5.2922 eV per atom

A relaxed PmB2W crystal, computed with PBE.

The structure in POSCAR format:
```
PmB2W
1.0
3.396 0.000 0.000
1.698 2.941 0.000
1.698 0.980 5.934
W Pm B
1 1 2
direct
0.000 0.000 0.000
0.500 0.500 0.500
0.731 0.731 0.807
0.269 0.269 0.193
```

## Properties
size of the total moment = 0.00 Bohr magnetons per cell
space-group type = R-3m (166)
formation energy from the elements = 0.037 eV/atom

A relaxed Pr4CoAsCl2 crystal, computed with PBE.

The structure in POSCAR format:
```
Pr4CoAsCl2
1.0
4.035 0.000 0.000
0.000 7.551 0.244
0.000 -2.528 7.115
Pr Co As Cl
4 1 1 2
direct
0.500 0.211 0.203
0.000 0.248 0.778
0.500 0.789 0.797
0.000 0.752 0.222
0.000 0.000 0.000
0.500 0.500 0.000
0.500 0.000 0.500
0.000 0.500 0.500
```

## Properties
size of the total moment = 0.00 Bohr magnetons per cell
raw formation energy = -1146 meV per atom
space-group type = P2/m (10)

A relaxed Ac2PdBr crystal, computed with PBE.

The structure in POSCAR format:
```
Ac2PdBr
1.0
-0.317 3.783 -2.341
-3.914 1.211 -1.762
-3.248 5.791 5.549
Ac Pd Br
2 1 1
direct
0.268 0.268 0.197
0.732 0.732 0.803
0.000 0.000 0.000
0.500 0.500 0.500
```

## Properties
size of the total moment = 0.00 Bohr magnetons per cell
raw formation energy = -1089 meV per atom
space-group type = R-3m (166)

A relaxed SrZnSi2 crystal, computed with PBE.

The structure in POSCAR format:
```
SrZnSi2
1.0
-4.455 -0.707 3.309
-3.215 -4.402 -1.260
5.471 0.836 0.814
Si Sr Zn
2 1 1
direct
0.000 0.000 0.000
0.500 0.500 0.000
0.750 0.250 0.500
0.250 0.750 0.500
```

## Properties
size of the total moment = 0.00 Bohr magnetons per cell
raw formation energy = 220 meV per atom
space-group type = I4/mmm (139)

A relaxed AlTcSbTe2 crystal, computed with PBE.

The structure in POSCAR format:
```
AlTcSbTe2
1.0
-2.252 0.363 5.385
-3.631 -3.335 -1.294
3.431 -4.407 1.732
Te Sb Al Tc
2 1 1 1
direct
0.500 0.000 0.000
0.000 0.000 0.500
0.000 0.000 0.000
0.000 0.500 0.000
0.500 0.500 0.500
```

## Properties
size of the total moment = 4.31 Bohr magnetons per cell
raw formation energy = 1293 meV per atom
space-group type = P4/mmm (123)

A relaxed GePbBr2 crystal, computed with PBE.

The structure in POSCAR format:
```
GePbBr2
1.0
-3.443 -2.772 -2.393
2.850 0.033 -4.140
4.176 -9.527 -0.253
Ge Br Pb
2 4 2
direct
0.500 0.500 0.000
0.250 0.750 0.500
0.607 0.125 0.250
0.375 0.393 0.750
0.143 0.625 0.250
0.875 0.857 0.750
0.750 0.250 0.500
0.000 0.000 0.000
```

## Properties
size of the total moment = 0.00 Bohr magnetons per cell
raw formation energy = -101 meV per atom
space-group type = I-42d (122)

A relaxed AgHgMo2 crystal, computed with PBE.

The structure in POSCAR format:
```
AgHgMo2
1.0
-2.590 8.868 -4.180
-4.249 9.016 -1.864
-1.532 9.874 -1.730
Mo Ag Hg
2 1 1
direct
0.251 0.251 0.251
0.997 0.997 0.997
0.503 0.503 0.503
0.749 0.749 0.749
```

## Properties
size of the total moment = 0.00 Bohr magnetons per cell
space-group type = R3m (160)
formation energy from the elements = 0.451 eV/atom

A relaxed CeErPb crystal, computed with PBE.

The structure in POSCAR format:
```
CeErPb
1.0
-0.345 2.541 -3.583
-4.211 -1.213 -0.455
-0.228 6.134 7.082
Er Pb Ce
2 2 2
direct
0.824 0.824 0.647
0.176 0.176 0.353
0.356 0.356 0.712
0.644 0.644 0.288
0.500 0.000 0.000
0.000 0.500 0.000
```

## Properties
size of the total moment = 1.06 Bohr magnetons per cell
space-group type = I4/mmm (139)
formation energy from the elements = -0.405 eV/atom

A relaxed Pr6Sm8Sc crystal, computed with PBE.

The structure in POSCAR format:
```
Pr6Sm8Sc
1.0
9.931 0.000 0.000
4.965 8.600 0.000
4.965 2.867 6.001
Sm Sc Pr
8 1 6
direct
0.414 0.414 0.758
0.071 0.648 0.509
0.771 0.071 0.509
0.929 0.352 0.491
0.648 0.771 0.509
0.352 0.229 0.491
0.229 0.929 0.491
0.586 0.586 0.242
0.000 0.000 0.000
0.079 0.280 0.025
0.280 0.617 0.025
0.720 0.383 0.975
0.921 0.720 0.975
0.383 0.921 0.975
0.617 0.079 0.025
```

## Properties
size of the total moment = 0.00 Bohr magnetons per cell
space-group type = R-3 (148)
formation energy from the elements = 0.170 eV/atom

A relaxed Cs2K2PuO6 crystal, computed with PBE.

The structure in POSCAR format:
```
Cs2K2PuO6
1.0
-1.743 4.046 4.737
-4.751 -3.540 -2.597
3.399 -4.957 3.733
Cs O K Pu
2 6 2 1
direct
0.819 0.181 0.000
0.181 0.819 0.000
0.306 0.047 0.670
0.176 0.176 0.325
0.824 0.824 0.675
0.047 0.306 0.670
0.694 0.953 0.330
0.953 0.694 0.330
0.343 0.657 0.500
0.657 0.343 0.500
0.000 0.000 0.500
```

## Properties
size of the total moment = 0.00 Bohr magnetons per cell
raw formation energy = -1916 meV per atom
space-group type = C2/m (12)

A relaxed KYHo4Se8 crystal, computed with PBE.

The structure in POSCAR format:
```
KYHo4Se8
1.0
8.544 0.000 0.000
4.272 7.399 0.000
4.272 2.466 7.008
Ho Se K Y
4 8 1 1
direct
0.005 0.486 0.505
0.005 0.005 0.505
0.486 0.005 0.505
0.625 0.625 0.124
0.228 0.757 0.258
0.234 0.234 0.298
0.757 0.228 0.258
0.757 0.757 0.258
0.758 0.758 0.727
0.796 0.236 0.733
0.236 0.236 0.733
0.236 0.796 0.733
0.374 0.374 0.878
0.005 0.005 0.985
```

## Properties
size of the total moment = 0.00 Bohr magnetons per cell
raw formation energy = -1746 meV per atom
space-group type = R3m (160)

A relaxed Zn2AgSn2 crystal, computed with PBE.

The structure in POSCAR format:
```
Zn2AgSn2
1.0
7.026 0.000 0.000
0.000 7.026 0.000
0.000 0.000 4.294
Ag Sn Zn
2 4 4
direct
0.500 0.500 0.000
0.000 0.000 0.000
0.676 0.824 0.500
0.824 0.324 0.500
0.324 0.176 0.500
0.176 0.676 0.500
0.631 0.131 0.000
0.131 0.369 0.000
0.369 0.869 0.000
0.869 0.631 0.000
```

## Properties
size of the total moment = 0.00 Bohr magnetons per cell
space-group type = P4/mbm (127)
formation energy from the elements = 0.091 eV/atom

A relaxed As2PbAuSe crystal, computed with PBE.

The structure in POSCAR format:
```
As2PbAuSe
1.0
5.029 0.000 0.000
0.000 5.029 0.000
0.000 0.000 5.324
Au As Se Pb
1 2 1 1
direct
0.000 0.000 0.000
0.000 0.500 0.000
0.500 0.000 0.000
0.000 0.000 0.500
0.500 0.500 0.500
```

## Properties
size of the total moment = 0.76 Bohr magnetons per cell
raw formation energy = 486 meV per atom
space-group type = P4/mmm (123)

A relaxed Ba3Sr4Ca crystal, computed with PBE.

The structure in POSCAR format:
```
Ba3Sr4Ca
1.0
-1.834 1.695 -3.232
1.564 -6.576 -4.337
-7.269 -22.797 -5.251
Sr Ba Ca
4 3 1
direct
0.622 0.639 0.244
0.378 0.361 0.756
0.622 0.140 0.244
0.378 0.860 0.756
0.000 0.500 0.000
0.757 0.217 0.513
0.243 0.783 0.487
0.500 0.000 0.000
```

## Properties
size of the total moment = 0.00 Bohr magnetons per cell
space-group type = C2/m (12)
formation energy from the elements = 0.091 eV/atom

A relaxed KAg2HgCl6 crystal, computed with PBE.

The structure in POSCAR format:
```
KAg2HgCl6
1.0
-3.599 3.928 -6.130
-8.304 -3.798 -0.909
-4.716 6.879 3.827
K Cl Hg Ag
2 12 2 4
direct
0.750 0.139 0.861
0.250 0.861 0.139
0.347 0.183 0.052
0.847 0.052 0.183
0.539 0.543 0.725
0.542 0.140 0.615
0.458 0.860 0.385
0.042 0.615 0.140
0.039 0.725 0.543
0.958 0.385 0.860
0.153 0.948 0.817
0.461 0.457 0.275
0.961 0.275 0.457
0.653 0.817 0.948
0.750 0.777 0.223
0.250 0.223 0.777
0.785 0.653 0.721
0.715 0.279 0.347
0.285 0.721 0.653
0.215 0.347 0.279
```

## Properties
size of the total moment = 1.35 Bohr magnetons per cell
raw formation energy = -725 meV per atom
space-group type = C2/c (15)

A relaxed CaDy2Al crystal, computed with PBE.

The structure in POSCAR format:
```
CaDy2Al
1.0
4.704 0.000 0.000
0.000 4.877 0.000
0.000 0.000 4.877
Ca Dy Al
1 2 1
direct
0.500 0.000 0.000
0.000 0.500 0.000
0.000 0.000 0.500
0.500 0.500 0.500
```

## Properties
size of the total moment = 0.00 Bohr magnetons per cell
space-group type = P4/mmm (123)
formation energy from the elements = -0.086 eV/atom

A relaxed Sb2TeAu crystal, computed with PBE.

The structure in POSCAR format:
```
Sb2TeAu
1.0
-4.058 0.893 0.597
-0.405 -2.771 1.388
2.248 6.073 6.200
Te Au Sb
1 1 2
direct
0.500 0.250 0.250
0.500 0.750 0.750
0.000 0.977 0.969
0.000 0.523 0.531
```

## Properties
size of the total moment = 0.00 Bohr magnetons per cell
raw formation energy = -31 meV per atom
space-group type = P2/m (10)

A relaxed CaCo2P crystal, computed with PBE.

The structure in POSCAR format:
```
CaCo2P
1.0
2.814 0.000 0.000
0.000 2.814 0.000
0.000 0.000 7.075
Ca Co P
1 2 1
direct
0.500 0.500 0.750
0.000 0.000 0.075
0.000 0.000 0.425
0.500 0.500 0.250
```

## Properties
size of the total moment = 0.00 Bohr magnetons per cell
space-group type = P4/mmm (123)
formation energy from the elements = -0.040 eV/atom